Density functional theory data (GGA-PBE) for an optimized crystal structure of TbTm4P5. Values from VASP.

The structure in Quantum ESPRESSO input format:
```
&SYSTEM
  ibrav = 0, nat = 10, ntyp = 3
/
ATOMIC_SPECIES
Tb 158.93 Tb.upf
Tm 168.93 Tm.upf
P 30.97 P.upf
ATOMIC_POSITIONS angstrom
Tb 0.000 0.000 0.000
Tm 3.540 1.772 0.000
Tm 2.661 -0.893 2.804
Tm 1.772 5.326 0.000
Tm 0.893 2.661 2.804
P 6.184 0.894 0.000
P 0.894 2.682 0.000
P 0.000 0.000 2.804
P 3.539 1.751 2.804
P -1.751 3.539 2.804
CELL_PARAMETERS angstrom
-4.433 4.433 2.804
4.433 -4.433 2.804
4.433 4.433 -2.804
```

Calculated values
For the electronic total energy, the calculation gives -6.5633 eV per atom. Its density of states at the Fermi level is 0.64 states/eV per cell. The calculation puts the formation energy from the elements at -1.607 eV per atom. The total magnetization comes out at 0.000 μB/cell.

---

Density functional theory data (GGA-PBE) for an optimized crystal structure of Tb2TmP. Values from VASP.

The structure in Quantum ESPRESSO input format:
```
&SYSTEM
  ibrav = 0, nat = 4, ntyp = 3
/
ATOMIC_SPECIES
Tb 158.93 Tb.upf
Tm 168.93 Tm.upf
P 30.97 P.upf
ATOMIC_POSITIONS angstrom
Tb 0.000 0.000 3.369
Tb 0.000 0.000 26.623
Tm 0.000 0.000 0.000
P 0.000 0.000 14.996
CELL_PARAMETERS angstrom
1.875 1.083 9.997
-1.875 1.083 9.997
0.000 -2.165 9.997
```

Calculated values
For the electronic total energy, the calculation gives -5.2640 eV per atom. Its density of states at the Fermi level is 5.75 states/eV per cell. The calculation puts the formation energy from the elements at -0.479 eV per atom. The total magnetization comes out at 0.250 μB/cell.

---

Density functional theory data (GGA-PBE) for an optimized crystal structure of Tb4TmP5. Values from VASP.

The structure in Quantum ESPRESSO input format:
```
&SYSTEM
  ibrav = 0, nat = 10, ntyp = 3
/
ATOMIC_SPECIES
Tb 158.93 Tb.upf
Tm 168.93 Tm.upf
P 30.97 P.upf
ATOMIC_POSITIONS angstrom
Tb 6.282 0.891 0.000
Tb 0.891 2.691 0.000
Tb 3.596 1.796 2.838
Tb -1.796 3.596 2.838
Tm 0.000 0.000 2.838
P 0.000 0.000 0.000
P 3.596 1.817 0.000
P 2.670 -0.890 2.838
P 1.817 5.377 0.000
P 0.890 2.670 2.838
CELL_PARAMETERS angstrom
-4.487 4.487 2.838
4.487 -4.487 2.838
4.487 4.487 -2.838
```

Calculated values
For the electronic total energy, the calculation gives -6.6145 eV per atom. Its density of states at the Fermi level is 0.61 states/eV per cell. The calculation puts the formation energy from the elements at -1.610 eV per atom. The total magnetization comes out at 0.000 μB/cell.

---

Density functional theory data (GGA-PBE) for an optimized crystal structure of Tb5TmP6. Values from VASP.

The structure in Quantum ESPRESSO input format:
```
&SYSTEM
  ibrav = 0, nat = 12, ntyp = 3
/
ATOMIC_SPECIES
Tb 158.93 Tb.upf
Tm 168.93 Tm.upf
P 30.97 P.upf
ATOMIC_POSITIONS angstrom
Tb 0.000 0.000 0.000
Tb 2.319 4.017 3.278
Tb 3.478 2.013 0.000
Tb 3.478 -2.013 0.000
Tb 2.319 -4.017 3.278
Tm 2.319 0.000 3.278
P 1.169 1.992 1.651
P 0.019 0.000 4.908
P 1.169 -1.992 1.651
P 3.469 1.992 4.906
P 4.619 0.000 1.648
P 3.469 -1.992 4.906
CELL_PARAMETERS angstrom
3.478 -6.023 0.000
3.478 6.023 0.000
-2.319 0.000 6.556
```

Calculated values
For the electronic total energy, the calculation gives -6.6175 eV per atom. Its density of states at the Fermi level is 1.08 states/eV per cell. The calculation puts the formation energy from the elements at -1.611 eV per atom. The total magnetization comes out at 0.000 μB/cell.

---

Density functional theory data (GGA-PBE) for an optimized crystal structure of TbTm2UP4. Values from VASP.

The structure in Quantum ESPRESSO input format:
```
&SYSTEM
  ibrav = 0, nat = 8, ntyp = 4
/
ATOMIC_SPECIES
Tb 158.93 Tb.upf
Tm 168.93 Tm.upf
U 238.03 U.upf
P 30.97 P.upf
ATOMIC_POSITIONS angstrom
Tb 0.000 0.000 0.000
Tm 2.293 0.000 3.239
Tm 3.424 1.975 0.000
U -1.131 1.975 3.239
P 0.023 0.000 4.835
P 1.136 1.975 1.661
P 3.449 1.975 4.817
P 4.563 0.000 1.643
CELL_PARAMETERS angstrom
6.848 0.000 0.000
0.000 3.950 0.000
-2.262 0.000 6.478
```

Calculated values
For the electronic total energy, the calculation gives -7.2574 eV per atom. Its density of states at the Fermi level is 6.74 states/eV per cell. The calculation puts the formation energy from the elements at -1.445 eV per atom. The total magnetization comes out at 2.076 μB/cell.

---

Density functional theory data (GGA-PBE) for an optimized crystal structure of TbTmU2P4. Values from VASP.

The structure in Quantum ESPRESSO input format:
```
&SYSTEM
  ibrav = 0, nat = 8, ntyp = 4
/
ATOMIC_SPECIES
Tb 158.93 Tb.upf
Tm 168.93 Tm.upf
U 238.03 U.upf
P 30.97 P.upf
ATOMIC_POSITIONS angstrom
Tb 0.000 0.000 0.000
Tm 3.411 1.970 0.000
U -1.138 1.970 3.272
U 2.273 0.000 3.272
P 0.015 0.000 4.890
P 1.154 1.970 1.666
P 3.393 1.970 4.877
P 4.531 0.000 1.653
CELL_PARAMETERS angstrom
6.823 0.000 0.000
0.000 3.940 0.000
-2.276 0.000 6.544
```

Calculated values
For the electronic total energy, the calculation gives -7.9539 eV per atom. Its density of states at the Fermi level is 8.70 states/eV per cell. The calculation puts the formation energy from the elements at -1.289 eV per atom. The total magnetization comes out at 4.608 μB/cell.

---

Density functional theory data (GGA-PBE) for an optimized crystal structure of Tb3YTm2P6. Values from VASP.

The structure in Quantum ESPRESSO input format:
```
&SYSTEM
  ibrav = 0, nat = 12, ntyp = 4
/
ATOMIC_SPECIES
Tb 158.93 Tb.upf
Y 88.91 Y.upf
Tm 168.93 Tm.upf
P 30.97 P.upf
ATOMIC_POSITIONS angstrom
Tb 0.000 0.000 0.000
Tb 3.464 1.994 0.000
Tb 3.464 -1.994 0.000
Y 2.311 0.000 3.265
Tm 2.311 3.997 3.265
Tm 2.311 -3.997 3.265
P 1.147 2.014 1.655
P -0.015 0.000 4.874
P 1.147 -2.014 1.655
P 3.474 2.014 4.876
P 4.636 0.000 1.657
P 3.474 -2.014 4.876
CELL_PARAMETERS angstrom
3.464 -5.999 0.000
3.464 5.999 0.000
-2.307 0.000 6.531
```

Calculated values
For the electronic total energy, the calculation gives -6.7577 eV per atom. Its density of states at the Fermi level is 1.73 states/eV per cell. The calculation puts the formation energy from the elements at -1.611 eV per atom. The total magnetization comes out at 0.000 μB/cell.

---

Density functional theory data (GGA-PBE) for an optimized crystal structure of Tb2TmZrP4. Values from VASP.

The structure in Quantum ESPRESSO input format:
```
&SYSTEM
  ibrav = 0, nat = 8, ntyp = 4
/
ATOMIC_SPECIES
Tb 158.93 Tb.upf
Tm 168.93 Tm.upf
Zr 91.22 Zr.upf
P 30.97 P.upf
ATOMIC_POSITIONS angstrom
Tb 0.000 0.000 0.000
Tb 3.399 1.961 0.000
Tm -1.124 1.961 3.211
Zr 2.275 0.000 3.211
P 0.054 0.000 4.755
P 1.173 1.961 1.688
P 3.376 1.961 4.734
P 4.496 0.000 1.667
CELL_PARAMETERS angstrom
6.797 0.000 0.000
0.000 3.921 0.000
-2.248 0.000 6.422
```

Calculated values
For the electronic total energy, the calculation gives -7.0430 eV per atom. Its density of states at the Fermi level is 1.53 states/eV per cell. The calculation puts the formation energy from the elements at -1.553 eV per atom. The total magnetization comes out at 0.000 μB/cell.